Compound: CoSn2F
Source: the Alexandria database
Functional: PBE with a Hubbard U
Structure: optimized geometry

```
data_CoSn2F
_symmetry_space_group_name_H-M 'I -4 2 d'
_symmetry_Int_Tables_number 122
_symmetry_space_group_name_Hall 'I -4 2bw'
_cell_length_a 5.117
_cell_length_b 5.117
_cell_length_c 13.728
_cell_angle_alpha 90.00
_cell_angle_beta 90.00
_cell_angle_gamma 90.00
loop_
_atom_site_label
_atom_site_fract_x
_atom_site_fract_y
_atom_site_fract_z
_atom_site_occupancy
Co1 0.000 0.000 0.000 1
Sn1 0.242 0.250 0.625 1
F1 0.000 0.000 0.500 1
```

Properties
V   359.4 Å³ per cell
Final energy   -3.909 eV per atom